# 1
NaSnH (PBE, relaxed); relative energy among the computed polymorphs = 0 meV per atom; symmetry = No. 11; DFT total energy = -18.0 eV for the cell shown
1.0
4.978 0.000 0.000
0.000 4.549 0.000
-2.144 0.000 5.711
Na Sn H
2 2 2
Direct
0.597 0.250 0.274
0.403 0.750 0.726
0.940 0.250 0.830
0.060 0.750 0.170
0.317 0.250 0.849
0.683 0.750 0.151

---

# 2
SnI (PBE, relaxed); symmetry = No. 44; DFT total energy = -23.8 eV for the cell shown; formation energy without anion corrections = -0.194 eV/atom
1.0
-2.232 3.514 -2.776
2.838 -4.872 -8.450
-5.465 -3.381 0.114
I Sn
4 4
Direct
0.000 0.306 0.716
0.000 0.694 0.716
0.500 0.806 0.216
0.500 0.194 0.216
0.000 0.500 0.376
0.500 0.000 0.876
0.000 0.000 0.612
0.500 0.500 0.112

---

# 3
Be3AuC (PBE, relaxed); relative energy among the computed polymorphs = 0 meV per atom; symmetry = No. 221; DFT total energy = -22.8 eV for the cell shown; E_form = 183 meV/atom
1.0
3.682 0.000 0.000
0.000 3.682 0.000
0.000 0.000 3.682
Be C Au
3 1 1
Direct
0.000 0.500 0.000
0.000 0.000 0.500
0.500 0.000 0.000
0.000 0.000 0.000
0.500 0.500 0.500

---

Question: What is the DFT total energy in the second record?
Answer: -23.8 eV for the cell shown